(1)
KNbMo2Ru | Alexandria | meta-GGA SCAN | PBEsol geometry; ΔH_f (0 K) = 2.05 eV/atom; ρ = 6.6 g/cm3; electronic total energy = -135.8 eV for the cell shown; DOS(E_F) = 4.569 states/eV per cell
1.0
4.6610 0.0000 0.0000
0.0000 4.6610 0.0000
0.0000 0.0000 4.8967
K Nb Mo Ru
1 1 2 1
direct
0.0000 0.0000 0.0000
0.5000 0.5000 0.0000
0.0000 0.5000 0.5000
0.5000 0.0000 0.5000
0.0000 0.0000 0.5000

=====

(2)
KNi3Mo | Alexandria | meta-GGA SCAN | PBEsol geometry; ΔH_f (0 K) = 2.45 eV/atom; ρ = 6.5 g/cm3; electronic total energy = -79.5 eV for the cell shown; DOS(E_F) = 2.975 states/eV per cell
1.0
4.2994 0.0000 0.0000
0.0000 4.2994 0.0000
0.0000 0.0000 4.2994
K Ni Mo
1 3 1
direct
0.0000 0.0000 0.0000
0.0000 0.0000 0.5000
0.0000 0.5000 0.0000
0.5000 0.0000 0.0000
0.5000 0.5000 0.5000

=====

(3)
KNi2Mo | Alexandria | meta-GGA SCAN | PBEsol geometry; ΔH_f (0 K) = 0.80 eV/atom; ρ = 5.7 g/cm3; electronic total energy = -72.4 eV for the cell shown; DOS(E_F) = 5.096 states/eV per cell; energy above the lowest structure with this stoichiometry = 0 meV per atom
1.0
2.6023 0.0000 0.0000
0.0000 4.0707 0.0000
-0.1426 0.0000 6.8965
K Ni Mo
1 2 1
direct
0.0000 0.0000 0.0000
0.4936 0.0000 0.5088
0.4935 0.5000 0.6963
0.9831 0.5000 0.3966

=====

(4)
K2NiMo | Alexandria | meta-GGA SCAN | PBEsol geometry; ΔH_f (0 K) = 0.82 eV/atom; ρ = 3.6 g/cm3; electronic total energy = -64.4 eV for the cell shown; DOS(E_F) = 4.404 states/eV per cell; energy above the lowest structure with this stoichiometry = 0 meV per atom
1.0
2.7965 0.0000 0.0000
0.0000 3.7581 0.0000
0.0000 0.0000 10.2919
K Ni Mo
2 1 1
direct
0.0000 0.0000 0.0000
0.5000 0.5000 0.4249
0.5000 0.5000 0.7639
0.0000 0.0000 0.6856

=====

(5)
K2NiMo | Alexandria | meta-GGA SCAN | PBEsol geometry; ΔH_f (0 K) = 1.12 eV/atom; ρ = 3.6 g/cm3; electronic total energy = -63.2 eV for the cell shown; DOS(E_F) = 4.373 states/eV per cell; energy above the lowest structure with this stoichiometry = 300 meV per atom
1.0
-1.4143 3.0249 6.1901
1.4143 -3.0249 6.1901
1.4143 3.0249 -6.1901
K Ni Mo
2 1 1
direct
0.0000 0.0000 0.0000
0.6973 0.1973 0.5000
0.4576 0.4576 0.0000
0.3094 0.8094 0.5000

=====

(6)
K2NiMo | Alexandria | meta-GGA SCAN | PBEsol geometry; ΔH_f (0 K) = 0.83 eV/atom; ρ = 3.4 g/cm3; electronic total energy = -64.4 eV for the cell shown; DOS(E_F) = 2.582 states/eV per cell; energy above the lowest structure with this stoichiometry = 15 meV per atom
1.0
-1.3802 2.0531 10.0565
1.3802 -2.0531 10.0565
1.3802 2.0531 -10.0565
K Ni Mo
2 1 1
direct
0.1426 0.1426 0.0000
0.8574 0.8574 0.0000
0.0000 0.5000 0.5000
0.5000 0.0000 0.5000

=====

(7)
K2NiMo | Alexandria | meta-GGA SCAN | PBEsol geometry; ΔH_f (0 K) = 1.34 eV/atom; ρ = 4.7 g/cm3; electronic total energy = -62.4 eV for the cell shown; DOS(E_F) = 3.225 states/eV per cell; energy above the lowest structure with this stoichiometry = 520 meV per atom
1.0
2.7050 0.0000 0.0000
0.0000 2.7050 0.0000
0.0000 0.0000 11.1376
K Ni Mo
2 1 1
direct
0.0000 0.0000 0.2261
0.0000 0.0000 0.7739
0.5000 0.5000 0.0000
0.5000 0.5000 0.5000

=====

(8)
KNi2Mo | Alexandria | meta-GGA SCAN | PBEsol geometry; ΔH_f (0 K) = 0.95 eV/atom; ρ = 6.9 g/cm3; electronic total energy = -71.8 eV for the cell shown; DOS(E_F) = 3.468 states/eV per cell; energy above the lowest structure with this stoichiometry = 150 meV per atom
1.0
3.4269 -3.4321 0.0000
3.4269 3.4321 0.0000
0.0000 0.0000 2.5755
K Ni Mo
1 2 1
direct
0.0000 0.0000 0.0000
0.0000 0.5000 0.5000
0.5000 0.0000 0.5000
0.5000 0.5000 0.0000

=====

(9)
K2Mo3O10 | Alexandria | meta-GGA SCAN | PBEsol geometry; ρ = 3.6 g/cm3; electronic total energy = -433.7 eV for the cell shown; raw formation energy = -2.216 eV/atom; DOS(E_F) = 0.000 states/eV per cell
1.0
7.0382 -3.9679 0.0000
7.0382 3.9679 0.0000
-1.3878 0.0000 8.7183
K Mo O
4 6 20
direct
0.0930 0.2777 0.1567
0.2777 0.0930 0.6567
0.7223 0.9070 0.3433
0.9070 0.7223 0.8433
0.1972 0.8028 0.2500
0.3141 0.4701 0.4824
0.4701 0.3141 0.9824
0.5299 0.6859 0.0176
0.6859 0.5299 0.5176
0.8028 0.1972 0.7500
0.0079 0.8802 0.1119
0.1198 0.9921 0.3881
0.1378 0.6222 0.3234
0.1744 0.5567 0.6347
0.2446 0.3443 0.9205
0.3443 0.2446 0.4205
0.3778 0.8622 0.1766
0.3835 0.5659 0.0893
0.4341 0.6165 0.4107
0.4433 0.8256 0.8653
0.5567 0.1744 0.1347
0.5659 0.3835 0.5893
0.6165 0.4341 0.9107
0.6222 0.1378 0.8234
0.6557 0.7554 0.5795
0.7554 0.6557 0.0795
0.8256 0.4433 0.3653
0.8622 0.3778 0.6766
0.8802 0.0079 0.6119
0.9921 0.1198 0.8881

=====

(10)
K2Mo2O7 | Alexandria | meta-GGA SCAN | PBEsol geometry; ρ = 3.7 g/cm3; electronic total energy = -309.9 eV for the cell shown; raw formation energy = -2.263 eV/atom; DOS(E_F) = 0.000 states/eV per cell
1.0
6.9517 0.0000 0.0000
0.6350 7.1874 0.0000
2.9181 0.7410 6.9123
K Mo O
4 4 14
direct
0.1966 0.3408 0.3474
0.2618 0.8802 0.0647
0.7382 0.1198 0.9353
0.8034 0.6592 0.6526
0.2463 0.4163 0.8162
0.3284 0.8505 0.5550
0.6716 0.1495 0.4450
0.7537 0.5837 0.1838
0.0217 0.5850 0.1390
0.1161 0.9634 0.7158
0.2148 0.7098 0.4544
0.3202 0.2712 0.9850
0.3531 0.6507 0.7659
0.3738 0.3152 0.5999
0.4436 0.0331 0.3585
0.5564 0.9669 0.6415
0.6262 0.6848 0.4001
0.6469 0.3493 0.2341
0.6798 0.7288 0.0150
0.7852 0.2902 0.5456
0.8839 0.0366 0.2842
0.9783 0.4150 0.8610

=====

(11)
K2Mo2P2O11 | Alexandria | meta-GGA SCAN | PBEsol geometry; ρ = 3.5 g/cm3; electronic total energy = -864.8 eV for the cell shown; raw formation energy = -2.379 eV/atom; energy above the lowest structure with this stoichiometry = 6 meV per atom
1.0
9.8338 0.0000 0.0000
0.0000 10.0378 0.0000
-1.3976 0.0000 9.8148
K Mo P O
8 8 8 44
direct
0.0011 0.0000 0.2490
0.2273 0.8208 0.9356
0.2292 0.6855 0.4665
0.4936 0.5753 0.2428
0.5064 0.0753 0.7572
0.7708 0.1855 0.5335
0.7727 0.3209 0.0644
0.9989 0.5000 0.7510
0.0698 0.1817 0.9007
0.0735 0.3218 0.3995
0.3463 0.0866 0.3887
0.3481 0.4113 0.8910
0.6519 0.9113 0.1090
0.6537 0.5866 0.6113
0.9265 0.8218 0.6005
0.9302 0.6817 0.0993
0.1266 0.0784 0.6094
0.1327 0.4251 0.1105
0.3908 0.1154 0.0663
0.3950 0.3779 0.5675
0.6050 0.8779 0.4325
0.6092 0.6154 0.9337
0.8673 0.9251 0.8895
0.8734 0.5784 0.3906
0.0319 0.9772 0.5225
0.0395 0.5269 0.0231
0.0628 0.2183 0.5783
0.0674 0.2856 0.0803
0.0780 0.7559 0.6768
0.0811 0.7481 0.1746
0.1277 0.0502 0.7635
0.1340 0.4537 0.2645
0.1912 0.3086 0.8541
0.1928 0.1927 0.3521
0.2363 0.0886 0.0272
0.2408 0.4064 0.5285
0.2764 0.0621 0.5812
0.2801 0.9366 0.3370
0.2832 0.4399 0.0825
0.2851 0.5604 0.8326
0.4294 0.1376 0.2217
0.4320 0.3537 0.7236
0.4410 0.2344 0.9872
0.4446 0.2550 0.4942
0.4646 0.9877 0.0220
0.4687 0.5051 0.5237
0.5313 0.0051 0.4763
0.5354 0.4877 0.9780
0.5554 0.7550 0.5058
0.5590 0.7344 0.0128
0.5680 0.8537 0.2764
0.5706 0.6376 0.7783
0.7149 0.0604 0.1674
0.7168 0.9399 0.9175
0.7199 0.4366 0.6630
0.7236 0.5621 0.4188
0.7592 0.9064 0.4715
0.7637 0.5886 0.9728
0.8072 0.6927 0.6479
0.8088 0.8086 0.1459
0.8660 0.9537 0.7355
0.8723 0.5502 0.2365
0.9189 0.2481 0.8254
0.9220 0.2559 0.3232
0.9326 0.7856 0.9197
0.9372 0.7183 0.4217
0.9605 0.0269 0.9769
0.9681 0.4772 0.4775

=====

(12)
KMo2P3O13 | Alexandria | meta-GGA SCAN | PBEsol geometry; ρ = 3.1 g/cm3; electronic total energy = -939.7 eV for the cell shown; raw formation energy = -2.349 eV/atom; energy above the lowest structure with this stoichiometry = 5 meV per atom
1.0
9.6295 0.0000 0.0000
0.0000 19.0550 0.0000
-1.7712 0.0000 6.1513
K Mo P O
4 8 12 52
direct
0.1460 0.1606 0.4831
0.1460 0.3394 0.9831
0.8540 0.6606 0.0169
0.8540 0.8394 0.5169
0.1186 0.6248 0.6845
0.1186 0.8752 0.1845
0.4327 0.1624 0.1300
0.4327 0.3376 0.6300
0.5673 0.6624 0.3700
0.5673 0.8376 0.8700
0.8814 0.1248 0.8155
0.8814 0.3752 0.3155
0.1971 0.0345 0.9877
0.1971 0.4655 0.4877
0.2086 0.5912 0.2307
0.2086 0.9088 0.7307
0.4700 0.6740 0.8292
0.4700 0.8260 0.3292
0.5300 0.1740 0.6708
0.5300 0.3260 0.1708
0.7914 0.0912 0.2693
0.7914 0.4088 0.7693
0.8029 0.5345 0.5123
0.8029 0.9655 0.0123
0.0706 0.7091 0.6839
0.0706 0.7909 0.1839
0.0921 0.0941 0.8960
0.0921 0.4059 0.3960
0.1174 0.6259 0.3649
0.1174 0.8741 0.8649
0.1222 0.5995 0.9918
0.1222 0.9005 0.4918
0.1506 0.5155 0.6394
0.1506 0.9845 0.1394
0.2073 0.5081 0.2743
0.2073 0.9919 0.7743
0.2814 0.2116 0.0739
0.2814 0.2884 0.5739
0.3291 0.6318 0.7687
0.3291 0.8682 0.2687
0.3457 0.0657 0.0933
0.3457 0.4343 0.5933
0.3645 0.6132 0.2842
0.3645 0.8868 0.7842
0.4345 0.7472 0.3158
0.4345 0.7528 0.8158
0.4361 0.1532 0.8210
0.4361 0.3468 0.3210
0.4371 0.1519 0.4434
0.4371 0.3481 0.9434
0.5629 0.6519 0.0566
0.5629 0.8481 0.5566
0.5639 0.6532 0.6790
0.5639 0.8468 0.1790
0.5655 0.2472 0.1842
0.5655 0.2528 0.6842
0.6355 0.1132 0.2158
0.6355 0.3868 0.7158
0.6543 0.5657 0.4067
0.6543 0.9343 0.9067
0.6709 0.1318 0.7313
0.6709 0.3682 0.2313
0.7186 0.7116 0.4261
0.7186 0.7884 0.9261
0.7927 0.0081 0.2257
0.7927 0.4919 0.7257
0.8494 0.0155 0.8606
0.8494 0.4845 0.3606
0.8778 0.0995 0.5082
0.8778 0.4005 0.0082
0.8826 0.1259 0.1351
0.8826 0.3741 0.6351
0.9079 0.5941 0.6040
0.9079 0.9059 0.1040
0.9294 0.2091 0.8161
0.9294 0.2909 0.3161

=====

(13)
K2Mo2P2O11 | Alexandria | meta-GGA SCAN | PBEsol geometry; ρ = 3.7 g/cm3; electronic total energy = -865.2 eV for the cell shown; raw formation energy = -2.385 eV/atom; DOS(E_F) = 0.000 states/eV per cell; energy above the lowest structure with this stoichiometry = 0 meV per atom
1.0
9.3155 0.0000 0.0000
0.0000 8.9109 0.0000
0.0000 0.0000 10.9365
K Mo P O
8 8 8 44
direct
0.2029 0.0109 0.0850
0.2029 0.9891 0.5850
0.2971 0.4891 0.5850
0.2971 0.5109 0.0850
0.7029 0.4891 0.9150
0.7029 0.5109 0.4150
0.7971 0.0109 0.4150
0.7971 0.9891 0.9150
0.0775 0.2696 0.3456
0.0775 0.7304 0.8456
0.4225 0.2304 0.8456
0.4225 0.7696 0.3456
0.5775 0.2304 0.6544
0.5775 0.7696 0.1544
0.9225 0.2696 0.1544
0.9225 0.7304 0.6544
0.0714 0.3255 0.8729
0.0714 0.6745 0.3729
0.4286 0.1745 0.3729
0.4286 0.8255 0.8729
0.5714 0.1745 0.1271
0.5714 0.8255 0.6271
0.9286 0.3255 0.6271
0.9286 0.6745 0.1271
0.0000 0.2594 0.7500
0.0000 0.7406 0.2500
0.0485 0.3021 0.5329
0.0485 0.6979 0.0329
0.0795 0.0808 0.3628
0.0795 0.9192 0.8628
0.1094 0.4891 0.8544
0.1094 0.5109 0.3544
0.1274 0.3004 0.1753
0.1274 0.6996 0.6753
0.2020 0.2265 0.8977
0.2020 0.7735 0.3977
0.2980 0.2735 0.3977
0.2980 0.7265 0.8977
0.3726 0.1996 0.6753
0.3726 0.8004 0.1753
0.3906 0.0109 0.3544
0.3906 0.9891 0.8544
0.4205 0.4192 0.8628
0.4205 0.5808 0.3628
0.4515 0.1979 0.0329
0.4515 0.8021 0.5329
0.5000 0.2406 0.2500
0.5000 0.7594 0.7500
0.5485 0.1979 0.4671
0.5485 0.8021 0.9671
0.5795 0.4192 0.6372
0.5795 0.5808 0.1372
0.6094 0.0109 0.1456
0.6094 0.9891 0.6456
0.6274 0.1996 0.8247
0.6274 0.8004 0.3247
0.7020 0.2735 0.1023
0.7020 0.7265 0.6023
0.7980 0.2265 0.6023
0.7980 0.7735 0.1023
0.8726 0.3004 0.3247
0.8726 0.6996 0.8247
0.8906 0.4891 0.6456
0.8906 0.5109 0.1456
0.9205 0.0808 0.1372
0.9205 0.9192 0.6372
0.9515 0.3021 0.9671
0.9515 0.6979 0.4671